# Cd2W (GGA-PBE, relaxed)
# Formation energy   526.3 meV/atom
# Uncorrected energy   -4.40 eV per atom
# Magnetization   0.000 μB per cell
# Distance to the lowest polymorph of the same formula   0.083 eV per atom
data_Cd2W
_chemical_formula_sum 'Cd4 W2'
_space_group_name_H-M_alt 'P 1'
_space_group_IT_number 1
_cell_length_a 5.815
_cell_length_b 5.815
_cell_length_c 7.367
_cell_angle_alpha 104.43
_cell_angle_beta 104.43
_cell_angle_gamma 28.25
loop_
_space_group_symop_operation_xyz
'x,y,z'
loop_
_atom_site_label
_atom_site_type_symbol
_atom_site_fract_x
_atom_site_fract_y
_atom_site_fract_z
Cd1 Cd 0.000 0.000 0.000
Cd2 Cd 0.046 0.046 0.615
Cd3 Cd 0.319 0.319 0.663
Cd4 Cd 0.653 0.653 0.327
W1 W 0.373 0.373 0.267
W2 W 0.730 0.730 0.961